## a
The following is a DFT calculation (SCAN) of a PBEsol-optimized structure of Sr2LaW.

Results
SG: No. 65
DOS(E_F): 1.425 states/eV/atom

Cell lengths 6.399, 6.399, 3.202 Å; angles 90.00, 90.00, 121.12 degrees
Element x y z (fractional)
Sr1 0.000 0.500 0.000
Sr2 0.500 0.000 0.000
La1 0.000 0.000 0.500
W1 0.500 0.500 0.500

## b
The following is a DFT calculation (SCAN) of a PBEsol-optimized structure of Sr2LaW.

Results
SG: No. 71
DOS(E_F): 1.294 states/eV/atom

Cell lengths 9.440, 9.440, 9.440 Å; angles 159.13, 151.18, 35.85 degrees
Element x y z (fractional)
Sr1 0.160 0.160 0.000
Sr2 0.840 0.840 0.000
La1 0.500 0.000 0.500
W1 0.000 0.500 0.500

## c
The following is a DFT calculation (SCAN) of a PBEsol-optimized structure of Sr2LaW.

Results
SG: No. 123
DOS(E_F): 1.290 states/eV/atom

Cell lengths 4.659, 4.659, 5.393 Å; angles 90.00, 90.00, 90.00 degrees
Element x y z (fractional)
Sr1 0.000 0.500 0.000
Sr2 0.500 0.000 0.000
La1 0.000 0.000 0.500
W1 0.500 0.500 0.500

It turns out b is the most stable, with the second structure 329 meV/atom higher.